Record 1
The following is a GGA-PBE calculation of a geometry-optimized CsTa2Pt2 structure, from the Alexandria database.

- ΔE_f (eV/atom) = 0.093
- magnetic moment (μB/f.u.) = 0.00
- crystal system = tetragonal
- distance to the lowest polymorph of the same formula (meV/atom) = 0.0

a = 8.3563 Å, b = 8.3563 Å, c = 8.3563 Å
α = 148.41°, β = 148.41°, γ = 45.28°
With the nearest neighbours (Å) after each atom.
Fractional coordinates of all 5 atoms:
Cs 0.0000 0.0000 0.0000  8 Pt 4.18, 8 Ta 4.48, 4 Cs 4.55
Ta 0.2500 0.7500 0.5000  4 Pt 2.56
Ta 0.7500 0.2500 0.5000  4 Pt 2.56
Pt 0.3266 0.3266 0.0000  4 Ta 2.56
Pt 0.6734 0.6734 0.0000  4 Ta 2.56


Record 2
The following is a GGA-PBE calculation of a geometry-optimized CsTa3Pt structure, from the Alexandria database.

- ΔE_f (eV/atom) = 1.554
- magnetic moment (μB/f.u.) = 0.59
- crystal system = cubic
- distance to the lowest polymorph of the same formula (meV/atom) = 0.0

a = 5.0777 Å, b = 5.0777 Å, c = 5.0777 Å
α = 90.00°, β = 90.00°, γ = 90.00°
With the nearest neighbours (Å) after each atom.
Fractional coordinates of all 5 atoms:
Cs 0.0000 0.0000 0.0000  12 Ta 3.59
Ta 0.0000 0.5000 0.5000  2 Pt 2.54
Ta 0.5000 0.0000 0.5000  2 Pt 2.54
Ta 0.5000 0.5000 0.0000  2 Pt 2.54
Pt 0.5000 0.5000 0.5000  6 Ta 2.54


Record 3
The following is a GGA-PBE calculation of a geometry-optimized CsTa3Pt structure, from the Alexandria database.

- ΔE_f (eV/atom) = 3.214
- magnetic moment (μB/f.u.) = 0.00
- crystal system = cubic
- distance to the lowest polymorph of the same formula (meV/atom) = 1660.3

a = 4.9464 Å, b = 4.9464 Å, c = 4.9464 Å
α = 90.00°, β = 90.00°, γ = 90.00°
With the nearest neighbours (Å) after each atom.
Fractional coordinates of all 5 atoms:
Cs 0.0000 0.0000 0.0000  6 Ta 2.47
Ta 0.0000 0.0000 0.5000  2 Cs 2.47
Ta 0.0000 0.5000 0.0000  2 Cs 2.47
Ta 0.5000 0.0000 0.0000  2 Cs 2.47
Pt 0.5000 0.5000 0.5000  12 Ta 3.50


Record 4
The following is a GGA-PBE calculation of a geometry-optimized Cs2TaTiPt structure, from the Alexandria database.

- ΔE_f (eV/atom) = 1.884
- magnetic moment (μB/f.u.) = 2.49
- crystal system = tetragonal

a = 6.5826 Å, b = 6.5826 Å, c = 4.5316 Å
α = 90.00°, β = 90.00°, γ = 90.00°
With the nearest neighbours (Å) after each atom.
Fractional coordinates of all 5 atoms:
Cs 0.0000 0.5000 0.0000  2 Ti 3.29
Cs 0.5000 0.0000 0.0000  2 Ti 3.29
Ta 0.0000 0.0000 0.5000  8 Cs 4.00
Ti 0.5000 0.5000 0.0000  2 Pt 2.27
Pt 0.5000 0.5000 0.5000  2 Ti 2.27


The lowest ΔE_f belongs to which entry? CsTa2Pt2


magnetic moment of number 1 (CsTa2Pt2)? 0.00 μB/f.u.


Which value of magnetic moment does entry 4 give? 2.49 μB/f.u.